Li5V4O12F: relaxed, PBE with a Hubbard U.

Lattice parameters (Å, degrees): 10.3342 4.7143 10.8968 65.39 90.00 90.00
With the nearest neighbours (Å) after each atom.
Positions (direct):
Li 0.1317 0.2596 0.1367  3 O 1.95-2.12, 1 F 1.99
Li 0.5000 0.0000 0.5000  4 O 2.00-2.10
Li 0.1337 0.6807 0.8329  3 O 1.98-2.20, 1 F 2.16
Li 0.6317 0.7404 0.3633  3 O 1.95-2.12, 1 F 1.99
Li 0.6337 0.3193 0.6671  3 O 1.98-2.20, 1 F 2.16
Li 0.0000 0.0000 0.0000  4 O 2.00-2.10
Li 0.3663 0.6807 0.3329  3 O 1.98-2.20, 1 F 2.16
Li 0.3683 0.2596 0.6367  3 O 1.95-2.12, 1 F 1.99
Li 0.8663 0.3193 0.1671  3 O 1.98-2.20, 1 F 2.16
Li 0.8683 0.7404 0.8633  3 O 1.95-2.12, 1 F 1.99
V 0.1570 0.9576 0.4882  3 O 1.68-1.82
V 0.4749 0.5986 0.8392  2 O 1.69-1.75
V 0.6570 0.0424 0.0118  3 O 1.68-1.82
V 0.0251 0.5986 0.3392  2 O 1.69-1.75
V 0.9749 0.4014 0.6608  2 O 1.69-1.75
V 0.3430 0.9576 0.9882  3 O 1.68-1.82
V 0.5251 0.4014 0.1608  2 O 1.69-1.75
V 0.8430 0.0424 0.5118  3 O 1.68-1.82
O 0.4861 0.0881 0.3046  1 V 1.69
O 0.6978 0.9130 0.4893  1 V 1.68
O 0.6893 0.2437 0.1183  2 V 1.81-1.98, 1 Li 1.98
O 0.9592 0.7790 0.4648  3 V 1.94-2.14
O 0.8854 0.6656 0.7014  1 V 1.75, 1 Li 1.95
O 0.6364 0.3773 0.8500  2 V 1.82-1.95
O 0.4592 0.2210 0.0352  3 V 1.94-2.14
O 0.1893 0.7563 0.3817  2 V 1.81-1.98, 1 Li 1.98
O 0.1364 0.6227 0.6500  2 V 1.82-1.95
O 0.3854 0.3344 0.7986  1 V 1.75, 1 Li 1.95
O 0.9861 0.9119 0.1954  1 V 1.69
O 0.1978 0.0870 0.0107  1 V 1.68
O 0.8022 0.9130 0.9893  1 V 1.68
O 0.0139 0.0881 0.8046  1 V 1.69
O 0.6146 0.6656 0.2014  1 V 1.75, 1 Li 1.95
O 0.8636 0.3773 0.3500  2 V 1.82-1.95
O 0.8107 0.2437 0.6183  2 V 1.81-1.98, 1 Li 1.98
O 0.5408 0.7790 0.9648  3 V 1.94-2.14
O 0.3636 0.6227 0.1500  2 V 1.82-1.95
O 0.1146 0.3344 0.2986  1 V 1.75, 1 Li 1.95
O 0.0408 0.2210 0.5352  3 V 1.94-2.14
O 0.3107 0.7563 0.8817  2 V 1.81-1.98, 1 Li 1.98
O 0.3022 0.0870 0.5107  1 V 1.68
O 0.5139 0.9119 0.6954  1 V 1.69
F 0.0000 0.5000 0.0000  4 Li 1.99-2.16
F 0.5000 0.5000 0.5000  4 Li 1.99-2.16

Output
Electronic total energy ... -291.3 eV/cell
Space group ... P2_1/c, No. 14